Record 1
# VGe2Pd

A relaxed structure of VGe2Pd (PBE, Alexandria via LeMat-Bulk).

The value obtained for the density of states at the Fermi level is 4.05 states/eV/f.u. The energy relative to the elements is 0.114 eV per atom.

Cell: 6.885 6.885 5.706 Å, 90.00 90.00 90.00°
Space group I-42d (No. 122)
One atom of each set of equivalent atoms:
1 V 0.000 0.000 0.000
2 Ge 0.241 0.750 0.625
3 Pd 0.000 0.000 0.500

Record 2
# VGe2Pd

A relaxed structure of VGe2Pd (PBE, Alexandria via LeMat-Bulk).

The value obtained for the density of states at the Fermi level is 3.38 states/eV/f.u. The energy relative to the elements is -0.075 eV per atom.

Cell: 6.239 6.239 6.239 Å, 90.00 90.00 90.00°
Space group Fm-3m (No. 225)
One atom of each set of equivalent atoms:
1 V 0.000 0.000 0.000
2 Ge 0.250 0.250 0.250
3 Pd 0.000 0.000 0.500

Record 3
# VGe2Pd

A relaxed structure of VGe2Pd (PBE, Alexandria via LeMat-Bulk).

The value obtained for the density of states at the Fermi level is 3.06 states/eV/f.u. The energy relative to the elements is -0.200 eV per atom.

Cell: 4.392 4.392 3.098 Å, 90.00 90.00 90.00°
Space group P4/mmm (No. 123)
One atom of each set of equivalent atoms:
1 V 0.000 0.000 0.000
2 Ge 0.000 0.500 0.500
3 Pd 0.500 0.500 0.000

Record 4
# VGePd2

A relaxed structure of VGePd2 (PBE, Alexandria via LeMat-Bulk).

The value obtained for the density of states at the Fermi level is 5.45 states/eV/f.u. The energy relative to the elements is -0.221 eV per atom.

Cell: 3.863 3.863 4.022 Å, 90.00 90.00 90.00°
Space group P4/mmm (No. 123)
One atom of each set of equivalent atoms:
1 V 0.000 0.000 0.000
2 Ge 0.500 0.500 0.000
3 Pd 0.000 0.500 0.500

Question: Which value of energy relative to the elements does entry 1 give?
Answer: 0.114 eV per atom

Question: Which value of energy relative to the elements does entry 4 give?
Answer: -0.221 eV per atom

What did the first record say?
# VGe2Pd

A relaxed structure of VGe2Pd (PBE, Alexandria via LeMat-Bulk).

The value obtained for the density of states at the Fermi level is 4.05 states/eV/f.u. The energy relative to the elements is 0.114 eV per atom.

Cell: 6.885 6.885 5.706 Å, 90.00 90.00 90.00°
Space group I-42d (No. 122)
One atom of each set of equivalent atoms:
1 V 0.000 0.000 0.000
2 Ge 0.241 0.750 0.625
3 Pd 0.000 0.000 0.500